Entry 1:
Here is a geometry-optimized MgCo5N4 structure from Alexandria via LeMat-Bulk. Energies are from PBE.

Structure (POSCAR):
```
MgCo5N4
1.0
-3.122 2.358 2.034
-3.297 -0.323 -4.687
-3.281 -6.735 2.772
Co N Mg
10 8 2
Direct
0.734 0.754 0.331
0.266 0.746 0.831
0.708 0.000 0.000
0.266 0.254 0.169
0.292 0.500 0.500
0.734 0.246 0.331
0.266 0.254 0.831
0.734 0.754 0.669
0.734 0.246 0.669
0.266 0.746 0.169
0.481 0.500 0.719
0.004 0.772 0.000
0.519 0.000 0.781
0.519 0.000 0.219
0.996 0.728 0.500
0.004 0.228 0.000
0.996 0.272 0.500
0.481 0.500 0.281
0.297 0.000 0.500
0.703 0.500 0.000
```

The calculation puts the density of states at the Fermi level at 10.52 states/eV/cell. The calculation puts the uncorrected formation energy at 109 meV/atom.

Entry 2:
Here is a geometry-optimized NaMgCo2N structure from Alexandria via LeMat-Bulk. Energies are from PBE.

Structure (POSCAR):
```
NaMgCo2N
1.0
3.758 0.000 0.000
0.000 4.512 0.000
0.000 0.000 3.758
Co Na N Mg
2 1 1 1
Direct
0.500 0.000 0.000
0.000 0.000 0.500
0.000 0.500 0.000
0.000 0.000 0.000
0.500 0.500 0.500
```

The calculation puts the density of states at the Fermi level at 3.36 states/eV/cell. The calculation puts the uncorrected formation energy at 157 meV/atom.

Entry 3:
Here is a geometry-optimized MgCoNi2N structure from Alexandria via LeMat-Bulk. Energies are from PBE.

Structure (POSCAR):
```
MgCoNi2N
1.0
-2.383 2.054 -2.197
-2.240 -3.082 -0.451
-1.957 0.978 3.037
Ni Mg Co N
2 1 1 1
Direct
0.000 0.500 0.000
0.500 0.000 0.000
0.500 0.500 0.500
0.000 0.000 0.500
0.000 0.000 0.000
```

The calculation puts the density of states at the Fermi level at 2.94 states/eV/cell. For the energy above the lowest structure with this stoichiometry, the calculation gives 0.0 meV per atom. The calculation puts the uncorrected formation energy at -180 meV/atom.

Entry 4:
Here is a geometry-optimized MgCoNi2N structure from Alexandria via LeMat-Bulk. Energies are from PBE.

Structure (POSCAR):
```
MgCoNi2N
1.0
4.325 0.000 0.000
0.000 4.435 0.000
0.000 0.000 4.325
Ni N Mg Co
2 1 1 1
Direct
0.500 0.000 0.000
0.000 0.000 0.500
0.500 0.500 0.500
0.000 0.000 0.000
0.000 0.500 0.000
```

The calculation puts the density of states at the Fermi level at 8.23 states/eV/cell. For the energy above the lowest structure with this stoichiometry, the calculation gives 2554.8 meV per atom. The calculation puts the uncorrected formation energy at 2375 meV/atom.

Entry 5:
Here is a geometry-optimized Mg3Np3CoN8 structure from Alexandria via LeMat-Bulk. Energies are from PBE.

Structure (POSCAR):
```
Mg3Np3CoN8
1.0
-4.132 -1.833 4.568
4.674 -3.985 -1.892
1.430 5.247 3.398
N Mg Np Co
8 3 3 1
Direct
0.771 0.541 0.280
0.229 0.459 0.720
0.239 0.009 0.280
0.770 0.009 0.280
0.246 0.492 0.238
0.230 0.991 0.720
0.754 0.508 0.762
0.761 0.991 0.720
0.000 0.500 0.000
0.000 0.000 0.000
0.500 0.500 0.000
0.500 0.000 0.500
0.000 0.500 0.500
0.500 0.500 0.500
0.000 0.000 0.500
```

The calculation puts the density of states at the Fermi level at 9.69 states/eV/cell. The calculation puts the uncorrected formation energy at -691 meV/atom.

Entry 6:
Here is a geometry-optimized Mg3Pa3CoN8 structure from Alexandria via LeMat-Bulk. Energies are from PBE.

Structure (POSCAR):
```
Mg3Pa3CoN8
1.0
-2.054 2.260 -5.943
3.965 -5.367 0.345
-6.109 -0.224 2.027
Pa N Mg Co
3 8 3 1
Direct
0.500 0.500 0.500
0.000 0.500 0.500
0.500 0.000 0.500
0.751 0.503 0.754
0.770 0.009 0.279
0.230 0.991 0.721
0.761 0.991 0.721
0.239 0.009 0.279
0.770 0.540 0.279
0.249 0.497 0.246
0.230 0.460 0.721
0.000 0.000 0.000
0.500 0.500 0.000
0.000 0.500 0.000
0.000 0.000 0.500
```

The calculation puts the uncorrected formation energy at -920 meV/atom.

Entry 7:
Here is a geometry-optimized Mg4Pa3CoN8 structure from Alexandria via LeMat-Bulk. Energies are from PBE.

Structure (POSCAR):
```
Mg4Pa3CoN8
1.0
-0.972 1.987 -5.975
-5.006 -3.834 -0.461
0.133 4.890 5.001
N Co Mg Pa
8 1 4 3
Direct
0.709 0.208 0.417
0.259 0.291 0.051
0.268 0.255 0.537
0.791 0.291 0.051
0.741 0.709 0.949
0.732 0.745 0.463
0.209 0.709 0.949
0.291 0.792 0.583
0.000 0.500 0.000
0.000 0.000 0.500
0.500 0.000 0.000
0.500 0.000 0.500
0.000 0.000 0.000
0.500 0.500 0.500
0.000 0.500 0.500
0.500 0.500 0.000
```

The calculation puts the density of states at the Fermi level at 0.28 states/eV/cell. The calculation puts the uncorrected formation energy at -972 meV/atom.

Entry 8:
Here is a geometry-optimized Mg2PaCoN4 structure from Alexandria via LeMat-Bulk. Energies are from PBE.

Structure (POSCAR):
```
Mg2PaCoN4
1.0
-0.201 -3.232 0.337
0.781 2.132 5.189
-10.319 0.770 1.236
Mg N Pa Co
4 8 2 2
Direct
0.621 0.243 0.456
0.379 0.757 0.956
0.379 0.757 0.544
0.621 0.243 0.044
0.289 0.578 0.368
0.000 0.000 0.500
0.431 0.863 0.750
0.711 0.422 0.632
0.289 0.578 0.132
0.711 0.422 0.868
0.569 0.137 0.250
0.000 0.000 0.000
0.095 0.190 0.750
0.905 0.810 0.250
0.833 0.665 0.750
0.167 0.335 0.250
```

The calculation puts the density of states at the Fermi level at 6.61 states/eV/cell. The calculation puts the uncorrected formation energy at -661 meV/atom.

Quick rundown of total magnetic moment, same order as above: 0.00 0.69 1.49 4.00 6.01 0.00 0.05 0.00 μB/f.u.